Entry 1:
Crystalline YTeI2N at its relaxed geometry, computed with PBE.

a = 6.3567 Å, b = 6.3567 Å, c = 3.9805 Å
α = 90.00°, β = 90.00°, γ = 90.00°
Element x y z (fractional)
Y: 0.0000 0.0000 0.0000
Te: 0.5000 0.5000 0.5000
I: 0.0000 0.5000 0.5000
I: 0.5000 0.0000 0.5000
N: 0.5000 0.5000 0.0000

Excess energy over the best structure of this formula in the dataset = 383.7 meV per atom
Uncorrected formation energy = 2.36 eV/f.u.

---

Entry 2:
Crystalline K2RbCd2Hg2 at its relaxed geometry, computed with PBE.

a = 11.8715 Å, b = 11.8715 Å, c = 11.8715 Å
α = 25.87°, β = 25.87°, γ = 25.87°
Element x y z (fractional)
K: 0.1265 0.1265 0.1265
K: 0.8735 0.8735 0.8735
Rb: 0.0000 0.0000 0.0000
Cd: 0.2619 0.2619 0.2619
Cd: 0.7381 0.7381 0.7381
Hg: 0.4044 0.4044 0.4044
Hg: 0.5956 0.5956 0.5956

E_form = -140.2 meV/atom

---

Entry 3:
Crystalline CaGa2Ir at its relaxed geometry, computed with PBE.

a = 4.5924 Å, b = 4.5924 Å, c = 4.5924 Å
α = 60.00°, β = 60.00°, γ = 60.00°
Element x y z (fractional)
Ca: 0.0000 0.0000 0.0000
Ga: 0.2500 0.2500 0.2500
Ga: 0.7500 0.7500 0.7500
Ir: 0.5000 0.5000 0.5000

E_form = -416.8 meV/atom

---

Entry 4:
Crystalline LaHoGe2 at its relaxed geometry, computed with PBE.

a = 4.0708 Å, b = 5.9461 Å, c = 8.2292 Å
α = 90.00°, β = 90.00°, γ = 90.00°
Element x y z (fractional)
La: 0.0000 0.1317 0.0000
La: 0.0000 0.8683 0.5000
Ho: 0.5000 0.3705 0.6364
Ho: 0.5000 0.6295 0.1364
Ge: 0.0000 0.3948 0.3586
Ge: 0.0000 0.6052 0.8586
Ge: 0.5000 0.1188 0.2813
Ge: 0.5000 0.8812 0.7813

Excess energy over the best structure of this formula in the dataset = 0.0 meV per atom
E_form = -815.8 meV/atom

---

Entry 5:
Crystalline CsK2Rb6H at its relaxed geometry, computed with PBE.

a = 10.3344 Å, b = 10.3534 Å, c = 10.3631 Å
α = 90.15°, β = 119.66°, γ = 119.59°
Element x y z (fractional)
Cs: 0.0000 0.0000 0.0000
K: 0.5004 0.7529 0.2472
K: 0.5009 0.2473 0.7530
Rb: 0.0033 0.2928 0.2935
Rb: 0.0025 0.2926 0.7099
Rb: 0.4184 0.7077 0.7060
Rb: 0.5823 0.2923 0.2940
Rb: 0.9978 0.7076 0.7069
Rb: 0.9987 0.7078 0.2904
H: 0.0005 0.5004 0.5004

---

Entry 6:
Crystalline Ca2Y2Cu at its relaxed geometry, computed with PBE.

a = 7.4122 Å, b = 7.4122 Å, c = 6.0028 Å
α = 90.00°, β = 90.00°, γ = 90.00°
Element x y z (fractional)
Ca: 0.1677 0.3323 0.0000
Ca: 0.3323 0.8323 0.0000
Ca: 0.6677 0.1677 0.0000
Ca: 0.8323 0.6677 0.0000
Y: 0.1587 0.6587 0.5000
Y: 0.3413 0.1587 0.5000
Y: 0.6587 0.8413 0.5000
Y: 0.8413 0.3413 0.5000
Cu: 0.0000 0.0000 0.5000
Cu: 0.5000 0.5000 0.5000

E_form = 190.7 meV/atom

---

Calculated DFT total energy in order - -18.7, -6.6, -18.6, -44.0, -11.4, -40.1 eV/cell
Calculated DOS at the Fermi energy in order - 0.8628, 0.6000, 0.3965, 0.7121, 0.9378, 1.3976 states/eV per atom